A plane-wave DFT calculation with GGA-PBE was carried out for a relaxed structure of Re3Mo.

Calculated values
Offset from the most stable computed form (meV per atom): 29
Symmetry: Pmmn (59)
Raw total energy (eV/atom): -11.927
DFT formation energy (eV per atom): 0.117
Crystal system: orthorhombic

Lattice parameters (Å, degrees): 4.5157 4.8777 5.5290 90.00 90.00 90.00
Closest atoms and distances in Å follow each position.
Sites, in units of the cell vectors:
Mo  0.5000  0.6529  0.5000  12 Re 2.76-2.85
Mo  0.0000  0.3471  0.0000  12 Re 2.76-2.85
Re  0.0000  0.8384  0.2537  8 Re 2.72-2.84, 4 Mo 2.78-2.85
Re  0.0000  0.8384  0.7463  8 Re 2.72-2.84, 4 Mo 2.78-2.85
Re  0.5000  0.1616  0.7537  8 Re 2.72-2.84, 4 Mo 2.78-2.85
Re  0.0000  0.3264  0.5000  8 Re 2.74-2.84, 4 Mo 2.76-2.77
Re  0.5000  0.1616  0.2463  8 Re 2.72-2.84, 4 Mo 2.78-2.85
Re  0.5000  0.6736  0.0000  8 Re 2.74-2.84, 4 Mo 2.76-2.77